Run a
Material: Tl2GaPb
Method: DFT, PBE
State: optimized geometry

The spin magnetization is 0.00 μB/f.u. The calculation puts the density of states at the Fermi level at 5.38 states/eV/cell.

The space group is R3m (No. 160, hexagonal axes) and the conventional cell measures 3.4939, 3.4939 and 32.3209 Å, with angles of 90.00, 90.00 and 120.00 degrees. The inequivalent atoms are Tl at (0.0000, 0.0000, 0.0000), Tl at (0.0000, 0.0000, 0.1787), Ga at (0.0000, 0.0000, 0.5897) and Pb at (0.0000, 0.0000, 0.4215).

***

Run b
Material: Tl2GaPb
Method: DFT, PBE
State: optimized geometry

The spin magnetization is 0.00 μB/f.u. The calculation puts the density of states at the Fermi level at 9.37 states/eV/cell.

The space group is I-42d (No. 122) and the conventional cell measures 4.5610, 4.5610 and 22.6070 Å, with angles of 90.00, 90.00 and 90.00 degrees. The inequivalent atoms are Tl at (0.2401, 0.2500, 0.1250), Ga at (0.0000, 0.0000, 0.0000) and Pb at (0.0000, 0.0000, 0.5000).

***

Run c
Material: Tl2GaPb
Method: DFT, PBE
State: optimized geometry

The spin magnetization is 0.00 μB/f.u. The calculation puts the density of states at the Fermi level at 5.56 states/eV/cell.

The space group is R-3m (No. 166, hexagonal axes) and the conventional cell measures 3.3935, 3.3935 and 35.5954 Å, with angles of 90.00, 90.00 and 120.00 degrees. The inequivalent atoms are Tl at (0.0000, 0.0000, 0.0825), Ga at (0.0000, 0.0000, 0.0000) and Pb at (0.0000, 0.0000, 0.5000).

***

Run d
Material: Tl2GaPb
Method: DFT, PBE
State: optimized geometry

The spin magnetization is 0.00 μB/f.u. The calculation puts the density of states at the Fermi level at 6.76 states/eV/cell.

The space group is Fm-3m (No. 225) and the conventional cell measures 7.7125, 7.7125 and 7.7125 Å, with angles of 90.00, 90.00 and 90.00 degrees. The inequivalent atoms are Tl at (0.2500, 0.2500, 0.2500), Ga at (0.0000, 0.0000, 0.0000) and Pb at (0.0000, 0.0000, 0.5000).

***

Ranking the structures above by energy, run d is first and the second is 0.008 eV/atom behind.